DFT (PBE) results for a relaxed structure of K3Tb2ScO6.

a = 5.927 Å, b = 5.927 Å, c = 6.542 Å
α = 98.67°, β = 98.67°, γ = 120.01°
Atoms (fractional coordinates):
K  0.000  0.000  0.000
K  0.336  0.664  0.000
K  0.664  0.336  0.000
Tb  0.167  0.833  0.500
Tb  0.833  0.167  0.500
Sc  0.500  0.500  0.500
O  0.121  0.439  0.317
O  0.243  0.243  0.683
O  0.439  0.121  0.317
O  0.561  0.879  0.683
O  0.757  0.757  0.317
O  0.879  0.561  0.683

Calculated values
The volume is 189.71 Å³/f.u. Its uncorrected energy is -6.7890 eV/atom. Its symmetry is No. 12.